Entry from Alexandria via LeMat-Bulk: crystalline PuMg2Si at its relaxed geometry (PBE).

Its magnetic moment is 5.49 μB per formula unit. As for the space-group type: R-3m (166). As for the formation energy without anion corrections: 110.4 kJ/mol of formula units.

abc: 10.8838 10.8838 10.8838
angles: 16.13 16.13 16.13
With the nearest neighbours (Å) after each atom.
Sites, in units of the cell vectors:
Pu (0.0000, 0.0000, 0.0000)  6 Pu 3.05, 2 Mg 3.16
Mg (0.0981, 0.0981, 0.0981)  3 Si 2.83, 6 Mg 3.05, 1 Pu 3.16
Mg (0.9019, 0.9019, 0.9019)  3 Si 2.83, 6 Mg 3.05, 1 Pu 3.16
Si (0.5000, 0.5000, 0.5000)  6 Mg 2.83, 6 Si 3.05